1.
! PBE Sr2CuSnAu6, optimized geometry; values from VASP
&SYSTEM
  ibrav = 0, nat = 10, ntyp = 4
/
ATOMIC_SPECIES
Sr 87.62 Sr.upf
Cu 63.55 Cu.upf
Sn 118.71 Sn.upf
Au 196.97 Au.upf
CELL_PARAMETERS angstrom
6.5744 -2.8325 0.0000
6.5744 2.8325 0.0000
-6.2596 0.0000 6.6339
ATOMIC_POSITIONS crystal
Sr 0.2451 0.2451 0.2087
Sr 0.7549 0.7549 0.7913
Cu 0.5000 0.5000 0.0000
Sn 0.0000 0.0000 0.5000
Au 0.2477 0.7431 0.2349
Au 0.2569 0.7523 0.7651
Au 0.2584 0.2584 0.6136
Au 0.7416 0.7416 0.3864
Au 0.7431 0.2477 0.2349
Au 0.7523 0.2569 0.7651
! **Symmetry**: C2/m, No. 12
! **Energy**: -3.531 eV/atom
! **Energy of formation**: -0.419 eV/atom

2.
! PBE SrCu2SnAu4, optimized geometry; values from VASP
&SYSTEM
  ibrav = 0, nat = 8, ntyp = 4
/
ATOMIC_SPECIES
Sr 87.62 Sr.upf
Cu 63.55 Cu.upf
Sn 118.71 Sn.upf
Au 196.97 Au.upf
CELL_PARAMETERS angstrom
2.2127 1.2775 10.0573
-2.2127 1.2775 10.0573
0.0000 -2.5550 10.0573
ATOMIC_POSITIONS crystal
Sr 0.0000 0.0000 0.0000
Cu 0.2498 0.2498 0.2498
Cu 0.7502 0.7502 0.7502
Sn 0.5000 0.5000 0.5000
Au 0.1166 0.1166 0.1166
Au 0.4004 0.4004 0.4004
Au 0.5996 0.5996 0.5996
Au 0.8834 0.8834 0.8834
! **Symmetry**: R-3m, No. 166
! **Energy**: -3.591 eV/atom
! **Energy of formation**: -0.218 eV/atom

3.
! PBE Sr2CuSn3Au4, optimized geometry; values from VASP
&SYSTEM
  ibrav = 0, nat = 10, ntyp = 4
/
ATOMIC_SPECIES
Sr 87.62 Sr.upf
Cu 63.55 Cu.upf
Sn 118.71 Sn.upf
Au 196.97 Au.upf
CELL_PARAMETERS angstrom
4.7716 0.0000 0.0000
0.0000 4.7716 0.0000
0.0000 0.0000 10.8603
ATOMIC_POSITIONS crystal
Sr 0.0000 0.5000 0.2484
Sr 0.5000 0.0000 0.7516
Cu 0.5000 0.5000 0.0000
Sn 0.0000 0.0000 0.0000
Sn 0.0000 0.5000 0.6327
Sn 0.5000 0.0000 0.3673
Au 0.0000 0.0000 0.5000
Au 0.0000 0.5000 0.8822
Au 0.5000 0.0000 0.1178
Au 0.5000 0.5000 0.5000
! **Symmetry**: P-4m2, No. 115
! **Energy**: -3.754 eV/atom
! **Energy of formation**: -0.496 eV/atom

4.
! PBE TbCuSnAu, optimized geometry; values from VASP
&SYSTEM
  ibrav = 0, nat = 4, ntyp = 4
/
ATOMIC_SPECIES
Tb 158.93 Tb.upf
Cu 63.55 Cu.upf
Sn 118.71 Sn.upf
Au 196.97 Au.upf
CELL_PARAMETERS angstrom
0.0000 3.4501 3.4501
3.4501 0.0000 3.4501
3.4501 3.4501 0.0000
ATOMIC_POSITIONS crystal
Tb 0.0000 0.0000 0.0000
Cu 0.7500 0.7500 0.7500
Sn 0.5000 0.5000 0.5000
Au 0.2500 0.2500 0.2500
! **Symmetry**: F-43m, No. 216
! **Energy**: -4.506 eV/atom
! **Energy of formation**: -0.505 eV/atom

5.
! PBE CuSnTe4Au2, optimized geometry; values from VASP
&SYSTEM
  ibrav = 0, nat = 8, ntyp = 4
/
ATOMIC_SPECIES
Cu 63.55 Cu.upf
Sn 118.71 Sn.upf
Te 127.60 Te.upf
Au 196.97 Au.upf
CELL_PARAMETERS angstrom
-3.1268 3.1268 6.4075
3.1268 -3.1268 6.4075
3.1268 3.1268 -6.4075
ATOMIC_POSITIONS crystal
Cu 0.0000 0.0000 0.0000
Sn 0.5000 0.5000 0.0000
Te 0.1060 0.1060 0.4618
Te 0.3558 0.8940 0.0000
Te 0.6442 0.6442 0.5382
Te 0.8940 0.3558 0.0000
Au 0.2500 0.7500 0.5000
Au 0.7500 0.2500 0.5000
! **Formation energy without anion corrections**: -0.11 eV/atom
! **Symmetry**: I-42m, No. 121
! **Energy**: -3.516 eV/atom

6.
! PBE ThCuSnAu, optimized geometry; values from VASP
&SYSTEM
  ibrav = 0, nat = 4, ntyp = 4
/
ATOMIC_SPECIES
Th 232.04 Th.upf
Cu 63.55 Cu.upf
Sn 118.71 Sn.upf
Au 196.97 Au.upf
CELL_PARAMETERS angstrom
0.0000 3.5285 3.5285
3.5285 0.0000 3.5285
3.5285 3.5285 0.0000
ATOMIC_POSITIONS crystal
Th 0.0000 0.0000 0.0000
Cu 0.2500 0.2500 0.2500
Sn 0.5000 0.5000 0.5000
Au 0.7500 0.7500 0.7500
! **Symmetry**: F-43m, No. 216
! **Energy**: -5.125 eV/atom
! **Energy of formation**: -0.426 eV/atom

7.
! PBE TmCuSnAu, optimized geometry; values from VASP
&SYSTEM
  ibrav = 0, nat = 4, ntyp = 4
/
ATOMIC_SPECIES
Tm 168.93 Tm.upf
Cu 63.55 Cu.upf
Sn 118.71 Sn.upf
Au 196.97 Au.upf
CELL_PARAMETERS angstrom
0.0000 3.4178 3.4178
3.4178 0.0000 3.4178
3.4178 3.4178 0.0000
ATOMIC_POSITIONS crystal
Tm 0.0000 0.0000 0.0000
Cu 0.7500 0.7500 0.7500
Sn 0.5000 0.5000 0.5000
Au 0.2500 0.2500 0.2500
! **Symmetry**: F-43m, No. 216
! **Energy**: -4.446 eV/atom
! **Energy of formation**: -0.484 eV/atom

8.
! PBE VCuSnAu, optimized geometry; values from VASP
&SYSTEM
  ibrav = 0, nat = 4, ntyp = 4
/
ATOMIC_SPECIES
V 50.94 V.upf
Cu 63.55 Cu.upf
Sn 118.71 Sn.upf
Au 196.97 Au.upf
CELL_PARAMETERS angstrom
0.0000 3.2340 3.2340
3.2340 0.0000 3.2340
3.2340 3.2340 0.0000
ATOMIC_POSITIONS crystal
V 0.0000 0.0000 0.0000
Cu 0.5000 0.5000 0.5000
Sn 0.7500 0.7500 0.7500
Au 0.2500 0.2500 0.2500
! **Symmetry**: F-43m, No. 216
! **Energy**: -5.030 eV/atom
! **Energy of formation**: 0.094 eV/atom